No. 1
4
Lattice="3.761 0.000 0.000 0.000 3.761 0.000 0.000 0.000 7.023" Properties=species:S:1:pos:R:3 comment="PBE ErZr2Sc, relaxed" relative_energy_kj_per_mol_atoms=10.3 space_group="No. 123" ef_ev_per_atom=0.160 dos_ef_per_ev_atom=1.9004 pbc="T T T"
Sc 1.881 1.881 0.000
Zr 0.000 0.000 5.489
Zr 0.000 0.000 1.534
Er 1.881 1.881 3.511

---

No. 2
9
Lattice="-2.818 -2.176 -0.650 1.075 -1.983 -8.091 3.101 -7.581 1.865" Properties=species:S:1:pos:R:3 comment="PBE Er4Se5, relaxed" space_group="No. 139" e_form_raw_ev_per_atom=-1.191 dos_ef_per_ev_atom=0.6308 pbc="T T T"
Er 0.339 -6.722 0.883
Er -0.664 -1.357 -2.654
Er -0.057 -3.035 0.332
Er -1.079 -2.803 -6.088
Se -0.837 -4.269 -2.230
Se 2.194 -7.471 -4.647
Se 0.000 0.000 0.000
Se 1.649 -3.569 -5.271
Se 2.527 -5.995 -0.956

---

No. 3
7
Lattice="5.694 0.000 0.000 0.000 5.694 0.000 -2.847 -2.847 5.636" Properties=species:S:1:pos:R:3 comment="PBE Er3Se4, relaxed" space_group="No. 139" e_form_raw_ev_per_atom=-1.815 dos_ef_per_ev_atom=0.3702 pbc="T T T"
Er 2.847 0.000 2.818
Er 0.000 2.847 2.818
Er 0.000 0.000 0.000
Se 0.000 0.000 2.854
Se 0.000 2.847 0.000
Se 2.847 0.000 0.000
Se 2.847 2.847 2.782

---

No. 4
6
Lattice="-4.076 1.234 -6.229 2.421 -0.322 -7.140 -0.936 -3.329 6.707" Properties=species:S:1:pos:R:3 comment="PBE ErSe2, relaxed" space_group="No. 71" e_form_raw_ev_per_atom=-1.522 dos_ef_per_ev_atom=0.3810 pbc="T T T"
Er -1.423 0.784 -11.491
Er -0.232 0.128 -1.877
Se -2.858 -0.854 -2.603
Se 0.267 -1.563 -4.059
Se -2.097 -0.074 -6.563
Se -0.494 -2.343 -0.099

---

No. 5
16
Lattice="-3.219 -0.238 -4.775 -4.575 -6.517 3.409 -2.510 8.189 1.284" Properties=species:S:1:pos:R:3 comment="PBE Er3Se5, relaxed" space_group="No. 193" e_form_raw_ev_per_atom=-1.644 dos_ef_per_ev_atom=0.1575 pbc="T T T"
Er -1.728 2.953 -0.721
Er -2.488 -2.457 0.060
Er -5.283 0.998 1.773
Er -4.001 4.998 -2.769
Er -5.306 -4.298 -1.426
Er -5.020 0.437 -1.854
Se -3.886 -1.615 2.700
Se -3.198 3.287 1.992
Se -4.808 3.168 -0.395
Se -5.496 -1.734 0.313
Se -2.618 5.858 -0.266
Se -4.110 -4.768 1.269
Se -2.770 0.404 0.108
Se -3.110 2.093 -3.225
Se -3.683 -1.986 -2.635
Se -7.533 1.030 -0.190

---

No. 6
13
Lattice="7.841 -0.009 -2.194 -4.704 6.365 -1.911 -0.092 -0.176 7.829" Properties=species:S:1:pos:R:3 comment="PBE Er5Se8, relaxed" space_group="No. 12" e_form_raw_ev_per_atom=-1.723 dos_ef_per_ev_atom=0.5317 pbc="T T T"
Er 0.000 0.000 0.000
Er 4.688 1.556 1.753
Er -1.643 4.624 1.971
Er 2.273 4.513 0.552
Er 0.772 1.667 3.171
Se -2.326 6.211 -0.332
Se 5.371 -0.031 4.056
Se 4.084 2.838 -0.657
Se -1.039 3.342 4.381
Se 1.737 6.201 -1.638
Se 2.995 3.397 3.155
Se 0.050 2.783 0.569
Se 1.308 -0.020 5.362

---

No. 7
11
Lattice="-4.245 -2.027 -2.152 -1.545 -4.461 2.113 -8.252 4.206 7.623" Properties=species:S:1:pos:R:3 comment="PBE Er8Se3, relaxed" space_group="No. 12" e_form_raw_ev_per_atom=-0.581 dos_ef_per_ev_atom=1.0259 pbc="T T T"
Er -4.820 0.746 3.476
Er -9.717 1.592 7.058
Er -4.325 -3.874 0.526
Er -9.222 -3.028 4.108
Er -6.171 -2.056 2.732
Er -6.637 2.783 5.789
Er -7.405 -5.065 1.796
Er -7.871 -0.226 4.853
Se -3.414 -1.203 1.474
Se -10.628 -1.079 6.110
Se 0.000 0.000 0.000

---

No. 8
6
Lattice="4.046 0.000 0.000 0.000 4.046 0.000 0.000 0.000 8.286" Properties=species:S:1:pos:R:3 comment="PBE ErSe2, relaxed" space_group="No. 129" e_form_raw_ev_per_atom=-1.532 dos_ef_per_ev_atom=0.0791 pbc="T T T"
Er 1.011 1.011 2.266
Er 3.034 3.034 6.020
Se 1.011 1.011 5.215
Se 3.034 3.034 3.071
Se 3.034 1.011 0.000
Se 1.011 3.034 0.000

---

No. 9
7
Lattice="-2.996 -2.429 -0.656 -2.267 -1.159 2.972 -9.691 9.139 -1.252" Properties=species:S:1:pos:R:3 comment="PBE Er4Se3, relaxed" space_group="No. 166" e_form_raw_ev_per_atom=-1.429 dos_ef_per_ev_atom=0.4407 pbc="T T T"
Er -10.361 6.531 -0.204
Er -6.556 5.056 -0.452
Er -8.398 0.495 1.516
Er -4.593 -0.980 1.267
Se -11.122 4.042 0.821
Se -3.832 1.509 0.242
Se 0.000 0.000 0.000

---

No. 10
18
Lattice="6.510 -0.341 -0.330 1.433 8.573 -0.030 1.433 0.247 8.570" Properties=species:S:1:pos:R:3 comment="PBE ErSi2Se6, relaxed" space_group="No. 15" e_form_raw_ev_per_atom=-0.656 dos_ef_per_ev_atom=0.6398 pbc="T T T"
Er 3.060 1.117 7.501
Er 6.315 7.362 0.708
Si 3.225 5.509 6.579
Si 2.895 1.896 3.081
Si 6.149 2.971 1.630
Si 6.480 6.583 5.128
Se 4.247 6.183 4.590
Se 1.873 3.862 2.343
Se 5.127 2.297 3.619
Se 7.502 4.617 5.866
Se 7.566 7.180 3.219
Se 5.063 4.859 0.972
Se 1.808 1.300 4.990
Se 4.312 3.620 7.237
Se 3.571 7.042 8.258
Se 2.549 0.169 1.603
Se 5.804 1.437 -0.049
Se 6.826 8.311 6.606

---

No. 11
19
Lattice="-2.178 5.606 5.275 -7.093 -1.239 -3.485 0.095 -6.329 4.892" Properties=species:S:1:pos:R:3 comment="PBE Er6SiSe12, relaxed" space_group="No. 148" e_form_raw_ev_per_atom=-1.413 dos_ef_per_ev_atom=0.6756 pbc="T T T"
Er -7.661 0.547 2.472
Er -3.473 2.357 2.948
Er -4.752 -1.930 -0.066
Er -1.515 -2.508 4.210
Er -5.703 -4.318 3.733
Er -4.424 -0.031 6.747
Si 0.000 0.000 0.000
Se -5.738 1.202 4.425
Se -6.672 -2.201 2.144
Se -4.158 -2.543 5.495
Se -3.438 -3.164 2.256
Se -2.504 0.240 4.538
Se -5.017 0.581 1.187
Se -7.027 -2.872 -1.597
Se -4.846 -6.711 2.338
Se -8.202 2.552 0.448
Se -2.149 0.910 8.279
Se -4.330 4.750 4.343
Se -0.974 -4.514 6.233

---

No. 12
7
Lattice="6.231 0.000 0.000 0.000 6.231 0.000 -3.116 -3.116 6.105" Properties=species:S:1:pos:R:3 comment="PBE Er2SiSe4, relaxed" space_group="No. 121" e_form_raw_ev_per_atom=-0.990 pbc="T T T"
Er 3.116 0.000 3.052
Er 0.000 3.116 3.052
Si 3.116 3.116 0.000
Se 4.659 1.572 1.450
Se 1.572 4.659 1.450
Se 1.543 1.543 4.655
Se -1.543 -1.543 4.655